[1]
Compound: Er3ScCo2
Source: Alexandria via LeMat-Bulk
Functional: PBE-GGA
Structure: optimized geometry

Results
As for the polymorph energy (0 for the lowest one): 6 meV per atom.

Cell: 4.026 4.555 7.651 Å, 107.31 105.25 90.00°
Sites, in units of the cell vectors:
Er 0.500 0.500 0.000
Er 0.813 0.312 0.626
Er 0.187 0.688 0.374
Co 0.376 0.877 0.753
Co 0.624 0.123 0.247
Sc 0.000 0.000 0.000

***

[2]
Compound: ErScCo
Source: Alexandria via LeMat-Bulk
Functional: PBE-GGA
Structure: optimized geometry

Results
As for the polymorph energy (0 for the lowest one): 0 meV per atom.

Cell: 5.757 6.477 7.061 Å, 108.03 90.00 90.00°
Sites, in units of the cell vectors:
Co 0.093 0.329 0.477
Co 0.407 0.329 0.977
Co 0.593 0.671 0.023
Co 0.907 0.671 0.523
Er 0.871 0.358 0.140
Er 0.129 0.642 0.860
Er 0.371 0.642 0.360
Er 0.629 0.358 0.640
Sc 0.847 0.916 0.305
Sc 0.153 0.084 0.695
Sc 0.347 0.084 0.195
Sc 0.653 0.916 0.805

***

[3]
Compound: ErSc5Co6
Source: Alexandria via LeMat-Bulk
Functional: PBE-GGA
Structure: optimized geometry

Cell: 4.443 6.345 7.708 Å, 114.30 106.75 90.00°
Sites, in units of the cell vectors:
Sc 0.330 0.830 0.661
Sc 0.670 0.170 0.339
Sc 0.666 0.666 0.333
Sc 0.334 0.334 0.667
Sc 0.000 0.500 0.000
Er 0.000 0.000 0.000
Co 0.831 0.085 0.661
Co 0.831 0.577 0.661
Co 0.500 0.741 0.000
Co 0.500 0.259 0.000
Co 0.169 0.423 0.339
Co 0.169 0.915 0.339

***

[4]
Compound: Er3ScCo
Source: Alexandria via LeMat-Bulk
Functional: PBE-GGA
Structure: optimized geometry

Results
As for the polymorph energy (0 for the lowest one): 166 meV per atom.

Cell: 5.166 5.166 5.166 Å, 90.00 90.00 90.00°
Sites, in units of the cell vectors:
Er 0.000 0.500 0.000
Er 0.000 0.000 0.500
Er 0.500 0.000 0.000
Sc 0.500 0.500 0.500
Co 0.000 0.000 0.000

***

What did we get for raw total energy? Answer: -34.82, -18.70, -82.67, -26.93 eV per formula unit, in the order shown.